Record 1
This record from Alexandria via LeMat-Bulk describes SmNi2Sn after structural relaxation. The functional is PBE.

a b c (Å): 7.3221 6.6720 6.2223
angles (deg): 90.00 90.00 90.00
Positions (direct):
1 Sm 0.0221 0.2500 0.1764
2 Sm 0.4779 0.7500 0.6764
3 Sm 0.5221 0.2500 0.3236
4 Sm 0.9779 0.7500 0.8236
5 Ni 0.1712 0.0598 0.5599
6 Ni 0.1712 0.4402 0.5599
7 Ni 0.3288 0.5598 0.0599
8 Ni 0.3288 0.9402 0.0599
9 Ni 0.6712 0.0598 0.9401
10 Ni 0.6712 0.4402 0.9401
11 Ni 0.8288 0.5598 0.4401
12 Ni 0.8288 0.9402 0.4401
13 Sn 0.1306 0.7500 0.3266
14 Sn 0.3694 0.2500 0.8266
15 Sn 0.6306 0.7500 0.1734
16 Sn 0.8694 0.2500 0.6734

energy of formation from the pure elements: -44.9 kJ per mole of atoms
D(E_F): 7.64 states/eV/cell


Record 2
This record from Alexandria via LeMat-Bulk describes ScTi2Zn after structural relaxation. The functional is PBE.

a b c (Å): 4.0922 4.0922 4.2325
angles (deg): 90.00 90.00 90.00
Positions (direct):
1 Sc 0.0000 0.0000 0.0000
2 Ti 0.0000 0.5000 0.5000
3 Ti 0.5000 0.0000 0.5000
4 Zn 0.5000 0.5000 0.0000

energy of formation from the pure elements: -2.8 kJ per mole of atoms
D(E_F): 6.71 states/eV/cell


Record 3
This record from Alexandria via LeMat-Bulk describes HoThRh after structural relaxation. The functional is PBE.

a b c (Å): 4.8912 4.8912 4.8912
angles (deg): 60.00 60.00 60.00
Positions (direct):
1 Ho 0.0000 0.0000 0.0000
2 Th 0.5000 0.5000 0.5000
3 Rh 0.2500 0.2500 0.2500

energy of formation from the pure elements: -44.2 kJ per mole of atoms
D(E_F): 3.30 states/eV/cell
ΔE to the lowest computed polymorph: 0.42 eV per formula unit


Record 4
This record from Alexandria via LeMat-Bulk describes YMnSe2 after structural relaxation. The functional is PBE.

a b c (Å): 7.0676 7.0676 7.0676
angles (deg): 32.08 32.08 32.08
Positions (direct):
1 Y 0.0000 0.0000 0.0000
2 Mn 0.8292 0.8292 0.8292
3 Se 0.2420 0.2420 0.2420
4 Se 0.4258 0.4258 0.4258

formation energy (no corrections): -4.3 eV per formula unit
D(E_F): 0.58 states/eV/cell


Record 5
This record from Alexandria via LeMat-Bulk describes Os2PdAu after structural relaxation. The functional is PBE.

a b c (Å): 5.7367 5.7367 5.7367
angles (deg): 101.79 101.79 126.25
Positions (direct):
1 Os 0.1165 0.6250 0.9915
2 Os 0.3750 0.3665 0.4915
3 Os 0.6335 0.1250 0.0085
4 Os 0.8750 0.8835 0.5085
5 Pd 0.0000 0.0000 0.0000
6 Pd 0.7500 0.2500 0.5000
7 Au 0.2500 0.7500 0.5000
8 Au 0.5000 0.5000 0.0000

energy of formation from the pure elements: 115.7 kJ per mole of atoms
D(E_F): 11.65 states/eV/cell
ΔE to the lowest computed polymorph: 1.43 eV per formula unit


Record 6
This record from Alexandria via LeMat-Bulk describes ZrTa3Sn after structural relaxation. The functional is PBE.

a b c (Å): 4.9364 4.9364 4.9364
angles (deg): 90.00 90.00 90.00
Positions (direct):
1 Zr 0.0000 0.0000 0.0000
2 Ta 0.0000 0.0000 0.5000
3 Ta 0.0000 0.5000 0.0000
4 Ta 0.5000 0.0000 0.0000
5 Sn 0.5000 0.5000 0.5000

energy of formation from the pure elements: 168.2 kJ per mole of atoms
D(E_F): 5.93 states/eV/cell
ΔE to the lowest computed polymorph: 0.49 eV per formula unit


Record 7
This record from Alexandria via LeMat-Bulk describes Nd2HgRu after structural relaxation. The functional is PBE.

a b c (Å): 8.1125 8.1125 8.1125
angles (deg): 29.55 29.55 29.55
Positions (direct):
1 Nd 0.0000 0.0000 0.0000
2 Nd 0.2026 0.2026 0.2026
3 Hg 0.4357 0.4357 0.4357
4 Ru 0.6002 0.6002 0.6002

energy of formation from the pure elements: -21.0 kJ per mole of atoms
D(E_F): 1.73 states/eV/cell
ΔE to the lowest computed polymorph: 0.42 eV per formula unit


Record 8
This record from Alexandria via LeMat-Bulk describes BePtW after structural relaxation. The functional is PBE.

a b c (Å): 5.4478 5.4478 5.4478
angles (deg): 150.44 150.44 42.30
Positions (direct):
1 Be 0.0000 0.0000 0.0000
2 Pt 0.6374 0.6374 0.0000
3 W 0.3377 0.3377 0.0000

energy of formation from the pure elements: -28.9 kJ per mole of atoms
D(E_F): 1.06 states/eV/cell
ΔE to the lowest computed polymorph: 0.12 eV per formula unit


Number 1: total magnetic moment 0.00 μB/f.u., V 19.00 A^3/atom. Number 2: total magnetic moment 0.45 μB/f.u., V 17.72 A^3/atom. Number 3: total magnetic moment 0.00 μB/f.u., V 27.58 A^3/atom. Number 4: total magnetic moment 4.05 μB/f.u., V 22.13 A^3/atom. Number 5: total magnetic moment 1.10 μB/f.u., V 16.98 A^3/atom. Number 6: total magnetic moment 0.00 μB/f.u., V 24.06 A^3/atom. Number 7: total magnetic moment 0.00 μB/f.u., V 28.73 A^3/atom. Number 8: total magnetic moment 0.00 μB/f.u., V 13.09 A^3/atom.